*one*
The following is a PBE calculation of a relaxed structure of SrMg2Cd9, from the Alexandria database.

abc: 3.363 9.961 9.961
angles: 120.00 90.00 90.00
Fractional positions:
Cd 0.500 0.820 0.641
Cd 0.500 0.820 0.180
Cd 0.000 0.000 0.500
Cd 0.500 0.359 0.180
Mg 0.000 0.333 0.667
Cd 0.500 0.641 0.820
Cd 0.500 0.180 0.820
Cd 0.000 0.500 0.000
Sr 0.000 0.000 0.000
Mg 0.000 0.667 0.333
Cd 0.000 0.500 0.500
Cd 0.500 0.180 0.359

Results
**Crystal system**: hexagonal


*two*
The following is a PBE calculation of a relaxed structure of SrMg2Cd9, from the Alexandria database.

abc: 7.826 9.393 9.393
angles: 80.01 65.38 65.38
Fractional positions:
Cd 0.743 0.826 0.584
Cd 0.750 0.500 0.500
Mg 0.875 0.250 0.750
Cd 0.007 0.674 0.916
Cd 0.597 0.084 0.326
Sr 0.500 0.000 0.000
Cd 0.673 0.584 0.174
Cd 0.597 0.326 0.084
Cd 0.000 0.000 0.000
Cd 0.431 0.826 0.416
Cd 0.743 0.584 0.826
Cd 0.077 0.916 0.326
Cd 0.431 0.416 0.826
Cd 0.153 0.416 0.174
Cd 0.673 0.174 0.584
Sr 0.250 0.500 0.500
Cd 0.319 0.674 0.084
Mg 0.875 0.750 0.250
Mg 0.875 0.250 0.250
Cd 0.319 0.084 0.674
Mg 0.375 0.750 0.750
Cd 0.153 0.174 0.416
Cd 0.077 0.326 0.916
Cd 0.007 0.916 0.674

Results
**Crystal system**: tetragonal


Stability, highest: *two*


*one*
The following is a PBE calculation of a relaxed structure of Sr2MgCd, from the Alexandria database.

abc: 10.101 10.101 10.101
angles: 156.67 33.23 156.66
Fractional positions:
Sr 0.333 0.000 0.333
Cd 0.500 0.000 0.500
Mg 0.000 0.000 0.000
Sr 0.667 0.000 0.667

Results
**Crystal system**: tetragonal


*two*
The following is a PBE calculation of a relaxed structure of Sr2MgCd, from the Alexandria database.

abc: 4.039 4.039 8.551
angles: 90.00 90.01 90.00
Fractional positions:
Sr 0.000 0.000 0.239
Mg 0.500 0.500 0.500
Sr 0.000 0.000 0.761
Cd 0.500 0.500 0.000

Results
**Crystal system**: tetragonal


Stability, highest: *two*


*one*
The following is a PBE calculation of a relaxed structure of Sr2MgCd, from the Alexandria database.

abc: 7.945 7.945 7.945
angles: 152.08 56.15 132.34
Fractional positions:
Cd 0.500 0.000 0.500
Mg 0.000 0.000 0.000
Sr 0.731 0.000 0.731
Sr 0.269 0.000 0.269

Results
**Crystal system**: orthorhombic


*two*
The following is a PBE calculation of a relaxed structure of Sr2MgCd, from the Alexandria database.

abc: 5.573 5.573 7.609
angles: 79.06 79.06 43.06
Fractional positions:
Mg 0.250 0.250 0.250
Cd 0.750 0.750 0.750
Sr 0.004 0.004 0.991
Sr 0.496 0.496 0.509

Results
**Crystal system**: monoclinic


*three*
The following is a PBE calculation of a relaxed structure of Sr2MgCd, from the Alexandria database.

abc: 5.648 5.648 5.648
angles: 60.00 60.00 60.00
Fractional positions:
Sr 0.250 0.250 0.250
Mg 0.750 0.750 0.750
Sr 0.000 0.000 0.000
Cd 0.500 0.500 0.500

Results
**Crystal system**: cubic


Stability, highest: *three*


*one*
The following is a PBE calculation of a relaxed structure of Sr2MgCd, from the Alexandria database.

abc: 5.878 4.037 5.875
angles: 90.00 90.00 90.00
Fractional positions:
Sr 0.500 0.125 0.376
Mg 0.500 0.625 0.877
Cd 0.000 0.625 0.373
Sr 0.000 0.125 0.874

Results
**Crystal system**: orthorhombic


*two*
The following is a PBE calculation of a relaxed structure of Sr2MgCd, from the Alexandria database.

abc: 9.242 9.242 7.524
angles: 52.11 52.11 90.00
Fractional positions:
Mg 0.500 0.500 0.000
Mg 0.250 0.750 0.500
Cd 0.750 0.250 0.500
Sr 0.375 0.356 0.750
Cd 0.000 0.000 0.000
Sr 0.106 0.625 0.250
Sr 0.644 0.125 0.250
Sr 0.875 0.894 0.750

Results
**Crystal system**: tetragonal


*three*
The following is a PBE calculation of a relaxed structure of Sr2MgCd, from the Alexandria database.

abc: 6.616 6.616 6.616
angles: 135.05 135.05 65.45
Fractional positions:
Sr 0.250 0.750 0.500
Sr 0.000 0.000 0.000
Mg 0.750 0.250 0.500
Cd 0.500 0.500 0.000

Results
**Crystal system**: tetragonal


*four*
The following is a PBE calculation of a relaxed structure of Sr2MgCd, from the Alexandria database.

abc: 4.024 4.024 8.971
angles: 90.00 90.00 90.00
Fractional positions:
Sr 0.000 0.000 0.945
Cd 0.000 0.000 0.544
Mg 0.500 0.500 0.699
Sr 0.500 0.500 0.311

Results
**Crystal system**: tetragonal


Stability, highest: *one*


*one*
The following is a PBE calculation of a relaxed structure of Sr2MgCd, from the Alexandria database.

abc: 5.824 5.824 5.824
angles: 60.00 60.00 60.00
Fractional positions:
Cd 0.500 0.500 0.500
Sr 0.250 0.250 0.250
Sr 0.750 0.750 0.750
Mg 0.000 0.000 0.000

Results
**Crystal system**: cubic


*two*
The following is a PBE calculation of a relaxed structure of Sr2MgCd, from the Alexandria database.

abc: 10.333 10.333 10.333
angles: 23.97 23.97 23.97
Fractional positions:
Sr 0.505 0.505 0.505
Cd 0.250 0.250 0.250
Sr 0.995 0.995 0.995
Mg 0.750 0.750 0.750

Results
**Crystal system**: trigonal


Stability, highest: *one*


*one*
The following is a PBE calculation of a relaxed structure of SrMg3Cd, from the Alexandria database.

abc: 4.634 7.720 8.242
angles: 74.23 89.99 89.99
Fractional positions:
Sr 0.881 0.152 0.579
Mg 0.882 0.252 0.039
Mg 0.381 0.422 0.766
Mg 0.381 0.998 0.927
Mg 0.882 0.665 0.511
Mg 0.381 0.009 0.296
Sr 0.381 0.523 0.227
Cd 0.880 0.859 0.152
Mg 0.881 0.678 0.879
Cd 0.381 0.816 0.655

Results
**Crystal system**: triclinic


*two*
The following is a PBE calculation of a relaxed structure of SrMg3Cd, from the Alexandria database.

abc: 5.364 5.364 5.364
angles: 90.00 90.00 90.00
Fractional positions:
Sr 0.500 0.500 0.500
Cd 0.000 0.000 0.000
Mg 0.500 0.000 0.000
Mg 0.000 0.000 0.500
Mg 0.000 0.500 0.000

Results
**Crystal system**: cubic


*three*
The following is a PBE calculation of a relaxed structure of SrMg3Cd, from the Alexandria database.

abc: 6.269 7.243 7.242
angles: 120.02 90.00 90.00
Fractional positions:
Cd 0.500 0.000 0.000
Sr 0.750 0.667 0.333
Mg 0.250 0.808 0.616
Mg 0.250 0.384 0.192
Sr 0.250 0.333 0.667
Mg 0.750 0.192 0.384
Cd 0.000 0.000 0.000
Mg 0.250 0.808 0.192
Mg 0.750 0.192 0.808
Mg 0.750 0.616 0.808

Results
**Crystal system**: hexagonal


Stability, highest: *one*